Material: LiDy2Pb
Method: DFT, PBE-GGA
State: optimized geometry

## Properties
* ΔE_f: -0.1824 eV/atom
* space-group type: P4/mmm, No. 123

Geometry as CIF:
```
data_LiDy2Pb
_chemical_formula_sum 'Li1 Dy2 Pb1'
_cell_length_a 3.824
_cell_length_b 3.824
_cell_length_c 7.292
_cell_angle_alpha 90.00
_cell_angle_beta 90.00
_cell_angle_gamma 90.00
_space_group_name_H-M_alt 'P 1'
_space_group_IT_number 1
loop_
_space_group_symop_operation_xyz
'x,y,z'
loop_
_atom_site_label
_atom_site_type_symbol
_atom_site_fract_x
_atom_site_fract_y
_atom_site_fract_z
Pb1 Pb 0.500 0.500 0.000
Li1 Li 0.500 0.500 0.500
Dy1 Dy 0.000 0.000 0.739
Dy2 Dy 0.000 0.000 0.261
```

Material: La7PmSm2
Method: DFT, PBE-GGA
State: optimized geometry

## Properties
* ΔE_f: 0.3148 eV/atom
* space-group type: Cmmm, No. 65
* distance to the lowest polymorph of the same formula: 0 meV/atom

Geometry as CIF:
```
data_La7PmSm2
_chemical_formula_sum 'La7 Pm1 Sm2'
_cell_length_a 3.562
_cell_length_b 10.588
_cell_length_c 10.587
_cell_angle_alpha 109.39
_cell_angle_beta 90.00
_cell_angle_gamma 90.00
_space_group_name_H-M_alt 'P 1'
_space_group_IT_number 1
loop_
_space_group_symop_operation_xyz
'x,y,z'
loop_
_atom_site_label
_atom_site_type_symbol
_atom_site_fract_x
_atom_site_fract_y
_atom_site_fract_z
La1 La 0.000 0.680 0.320
La2 La 0.000 0.320 0.680
La3 La 0.500 0.126 0.387
La4 La 0.500 0.874 0.613
La5 La 0.500 0.387 0.126
La6 La 0.500 0.613 0.874
La7 La 0.500 0.500 0.500
Pm1 Pm 0.000 0.000 0.000
Sm1 Sm 0.500 0.832 0.168
Sm2 Sm 0.500 0.168 0.832
```

Material: Pr2HgN
Method: DFT, PBE-GGA
State: optimized geometry

## Properties
* E_form (uncorrected): -0.7473 eV/atom
* space-group type: Ima2, No. 46
* distance to the lowest polymorph of the same formula: 59 meV/atom

Geometry as CIF:
```
data_Pr2HgN
_chemical_formula_sum 'Pr4 Hg2 N2'
_cell_length_a 5.202
_cell_length_b 6.993
_cell_length_c 6.993
_cell_angle_alpha 63.16
_cell_angle_beta 68.16
_cell_angle_gamma 68.16
_space_group_name_H-M_alt 'P 1'
_space_group_IT_number 1
loop_
_space_group_symop_operation_xyz
'x,y,z'
loop_
_atom_site_label
_atom_site_type_symbol
_atom_site_fract_x
_atom_site_fract_y
_atom_site_fract_z
Pr1 Pr 0.441 0.856 0.262
Pr2 Pr 0.559 0.238 0.644
Pr3 Pr 0.852 0.602 0.693
Pr4 Pr 0.148 0.807 0.898
Hg1 Hg 0.836 0.175 0.152
Hg2 Hg 0.164 0.348 0.325
N1 N 0.367 0.621 0.645
N2 N 0.633 0.855 0.879
```

Material: SrCa2MgPt
Method: DFT, PBE-GGA
State: optimized geometry

## Properties
* ΔE_f: -0.4147 eV/atom
* space-group type: P4/mmm, No. 123
* distance to the lowest polymorph of the same formula: 0 meV/atom

Geometry as CIF:
```
data_SrCa2MgPt
_chemical_formula_sum 'Sr1 Ca2 Mg1 Pt1'
_cell_length_a 5.645
_cell_length_b 5.645
_cell_length_c 5.283
_cell_angle_alpha 90.00
_cell_angle_beta 90.00
_cell_angle_gamma 90.00
_space_group_name_H-M_alt 'P 1'
_space_group_IT_number 1
loop_
_space_group_symop_operation_xyz
'x,y,z'
loop_
_atom_site_label
_atom_site_type_symbol
_atom_site_fract_x
_atom_site_fract_y
_atom_site_fract_z
Sr1 Sr 0.500 0.500 0.500
Ca1 Ca 0.000 0.500 0.000
Ca2 Ca 0.500 0.000 0.000
Mg1 Mg 0.000 0.000 0.500
Pt1 Pt 0.000 0.000 0.000
```